(1)
{
  "formula": "SnAsBr2",
  "functional": "GGA-PBEsol",
  "state": "relaxed",
  "cell": [[1.693, 0.977, 10.020], [-1.693, 0.977, 10.020], [0.000, -1.955, 10.020]],
  "species": ["Sn", "As", "Br", "Br"],
  "fractional_positions": [[0.000, 0.000, 0.000], [0.500, 0.500, 0.500], [0.094, 0.094, 0.094], [0.906, 0.906, 0.906]],
  "energy_ev_per_fu": -12.714,
  "crystal_system": "trigonal",
  "magnetic_moment_mub_per_fu": 0.00,
  "formation_energy_uncorrected_ev_per_atom": 0.098
}

***

(2)
{
  "formula": "SnTeAs2Br",
  "functional": "GGA-PBEsol",
  "state": "relaxed",
  "cell": [[5.277, 0.000, 0.000], [0.000, 5.277, 0.000], [0.000, 0.000, 5.121]],
  "species": ["Sn", "Te", "As", "As", "Br"],
  "fractional_positions": [[0.000, 0.000, 0.000], [0.500, 0.500, 0.500], [0.000, 0.500, 0.000], [0.500, 0.000, 0.000], [0.000, 0.000, 0.500]],
  "energy_ev_per_fu": -16.804,
  "crystal_system": "tetragonal",
  "magnetic_moment_mub_per_fu": 0.00,
  "de_polymorph_ev_per_atom": 0.000,
  "formation_energy_uncorrected_ev_per_atom": 0.613
}

***

(3)
{
  "formula": "ZrSnAsBr2",
  "functional": "GGA-PBEsol",
  "state": "relaxed",
  "cell": [[5.263, 0.000, 0.000], [0.000, 5.263, 0.000], [0.000, 0.000, 5.323]],
  "species": ["Zr", "Sn", "As", "Br", "Br"],
  "fractional_positions": [[0.000, 0.000, 0.000], [0.500, 0.500, 0.500], [0.500, 0.500, 0.000], [0.000, 0.500, 0.500], [0.500, 0.000, 0.500]],
  "energy_ev_per_fu": -19.595,
  "crystal_system": "tetragonal",
  "magnetic_moment_mub_per_fu": 1.74,
  "formation_energy_uncorrected_ev_per_atom": 0.520
}